The following is a PBE-GGA calculation of a relaxed P2IrSe crystal, from Alexandria.

Calculated values
* energy relative to the elements, uncorrected: -0.0501 eV/atom
* M_tot: 0.00 Bohr magnetons per cell

The structure in CIF format:
```
data_P2IrSe
_chemical_formula_sum 'P2 Ir1 Se1'
_symmetry_space_group_name_H-M 'P 1'
_symmetry_Int_Tables_number 1
_cell_length_a 4.353
_cell_length_b 4.353
_cell_length_c 5.852
_cell_angle_alpha 106.96
_cell_angle_beta 106.96
_cell_angle_gamma 50.14
loop_
_symmetry_equiv_pos_as_xyz
'x,y,z'
loop_
_atom_site_label
_atom_site_fract_x
_atom_site_fract_y
_atom_site_fract_z
P1 0.000 0.000 0.000
P2 0.738 0.738 0.728
Ir1 0.295 0.295 0.025
Se1 0.901 0.901 0.351
```

The following is a PBE-GGA calculation of a relaxed Rb2SrHg3F12 crystal, from Alexandria.

Calculated values
* energy relative to the elements, uncorrected: -2.0005 eV/atom
* M_tot: 2.10 Bohr magnetons per cell

The structure in CIF format:
```
data_Rb2SrHg3F12
_chemical_formula_sum 'Rb2 Sr1 Hg3 F12'
_symmetry_space_group_name_H-M 'P 1'
_symmetry_Int_Tables_number 1
_cell_length_a 7.595
_cell_length_b 7.595
_cell_length_c 7.595
_cell_angle_alpha 66.97
_cell_angle_beta 66.97
_cell_angle_gamma 66.97
loop_
_symmetry_equiv_pos_as_xyz
'x,y,z'
loop_
_atom_site_label
_atom_site_fract_x
_atom_site_fract_y
_atom_site_fract_z
Rb1 0.118 0.118 0.118
Rb2 0.882 0.882 0.882
Sr1 0.500 0.500 0.500
Hg1 0.000 0.500 0.500
Hg2 0.500 0.000 0.500
Hg3 0.500 0.500 0.000
F1 0.102 0.632 0.632
F2 0.237 0.237 0.625
F3 0.237 0.625 0.237
F4 0.368 0.368 0.898
F5 0.368 0.898 0.368
F6 0.375 0.763 0.763
F7 0.625 0.237 0.237
F8 0.632 0.102 0.632
F9 0.632 0.632 0.102
F10 0.763 0.375 0.763
F11 0.763 0.763 0.375
F12 0.898 0.368 0.368
```

The following is a PBE-GGA calculation of a relaxed Er3Tm3ZnTc2 crystal, from Alexandria.

Calculated values
* M_tot: 0.00 Bohr magnetons per cell
* ΔE_f: -40 meV per atom

The structure in CIF format:
```
data_Er3Tm3ZnTc2
_chemical_formula_sum 'Er3 Tm3 Zn1 Tc2'
_symmetry_space_group_name_H-M 'P 1'
_symmetry_Int_Tables_number 1
_cell_length_a 8.034
_cell_length_b 8.034
_cell_length_c 3.797
_cell_angle_alpha 90.00
_cell_angle_beta 90.00
_cell_angle_gamma 120.00
loop_
_symmetry_equiv_pos_as_xyz
'x,y,z'
loop_
_atom_site_label
_atom_site_fract_x
_atom_site_fract_y
_atom_site_fract_z
Er1 0.000 0.279 0.000
Er2 0.279 0.000 0.000
Er3 0.721 0.721 0.000
Tm1 0.000 0.603 0.500
Tm2 0.397 0.397 0.500
Tm3 0.603 0.000 0.500
Zn1 0.000 0.000 0.500
Tc1 0.333 0.667 0.000
Tc2 0.667 0.333 0.000
```

The following is a PBE-GGA calculation of a relaxed AcPr2InN4 crystal, from Alexandria.

Calculated values
* energy relative to the elements, uncorrected: -0.8334 eV/atom
* M_tot: 0.00 Bohr magnetons per cell

The structure in CIF format:
```
data_AcPr2InN4
_chemical_formula_sum 'Ac2 Pr4 In2 N8'
_symmetry_space_group_name_H-M 'P 1'
_symmetry_Int_Tables_number 1
_cell_length_a 6.479
_cell_length_b 6.479
_cell_length_c 12.669
_cell_angle_alpha 90.00
_cell_angle_beta 90.00
_cell_angle_gamma 147.16
loop_
_symmetry_equiv_pos_as_xyz
'x,y,z'
loop_
_atom_site_label
_atom_site_fract_x
_atom_site_fract_y
_atom_site_fract_z
Ac1 0.111 0.889 0.750
Ac2 0.889 0.111 0.250
Pr1 0.370 0.630 0.538
Pr2 0.370 0.630 0.962
Pr3 0.630 0.370 0.038
Pr4 0.630 0.370 0.462
In1 0.153 0.847 0.250
In2 0.847 0.153 0.750
N1 0.000 0.000 0.000
N2 0.000 0.000 0.500
N3 0.268 0.732 0.122
N4 0.268 0.732 0.378
N5 0.452 0.548 0.750
N6 0.548 0.452 0.250
N7 0.732 0.268 0.622
N8 0.732 0.268 0.878
```

The following is a PBE-GGA calculation of a relaxed Nb2ZnCl2 crystal, from Alexandria.

Calculated values
* energy relative to the elements, uncorrected: 0.2836 eV/atom
* M_tot: 0.00 Bohr magnetons per cell
* E above lowest polymorph: 188 meV/atom

The structure in CIF format:
```
data_Nb2ZnCl2
_chemical_formula_sum 'Nb4 Zn2 Cl4'
_symmetry_space_group_name_H-M 'P 1'
_symmetry_Int_Tables_number 1
_cell_length_a 7.633
_cell_length_b 7.633
_cell_length_c 2.883
_cell_angle_alpha 90.00
_cell_angle_beta 90.00
_cell_angle_gamma 90.00
loop_
_symmetry_equiv_pos_as_xyz
'x,y,z'
loop_
_atom_site_label
_atom_site_fract_x
_atom_site_fract_y
_atom_site_fract_z
Nb1 0.178 0.322 0.000
Nb2 0.322 0.822 0.000
Nb3 0.678 0.178 0.000
Nb4 0.822 0.678 0.000
Zn1 0.000 0.000 0.500
Zn2 0.500 0.500 0.500
Cl1 0.128 0.628 0.500
Cl2 0.372 0.128 0.500
Cl3 0.628 0.872 0.500
Cl4 0.872 0.372 0.500
```

The following is a PBE-GGA calculation of a relaxed LiMgTl2Ge crystal, from Alexandria.

Calculated values
* M_tot: 0.00 Bohr magnetons per cell
* ΔE_f: 202 meV per atom

The structure in CIF format:
```
data_LiMgTl2Ge
_chemical_formula_sum 'Li1 Mg1 Tl2 Ge1'
_symmetry_space_group_name_H-M 'P 1'
_symmetry_Int_Tables_number 1
_cell_length_a 5.547
_cell_length_b 5.547
_cell_length_c 4.907
_cell_angle_alpha 90.00
_cell_angle_beta 90.00
_cell_angle_gamma 90.00
loop_
_symmetry_equiv_pos_as_xyz
'x,y,z'
loop_
_atom_site_label
_atom_site_fract_x
_atom_site_fract_y
_atom_site_fract_z
Li1 0.000 0.000 0.000
Mg1 0.500 0.500 0.000
Tl1 0.000 0.500 0.500
Tl2 0.500 0.000 0.500
Ge1 0.000 0.000 0.500
```

The following is a PBE-GGA calculation of a relaxed Hf2Be16Ru crystal, from Alexandria.

Calculated values
* M_tot: 0.00 Bohr magnetons per cell
* ΔE_f: -244 meV per atom

The structure in CIF format:
```
data_Hf2Be16Ru
_chemical_formula_sum 'Hf2 Be16 Ru1'
_symmetry_space_group_name_H-M 'P 1'
_symmetry_Int_Tables_number 1
_cell_length_a 5.734
_cell_length_b 5.734
_cell_length_c 5.734
_cell_angle_alpha 83.49
_cell_angle_beta 83.49
_cell_angle_gamma 83.49
loop_
_symmetry_equiv_pos_as_xyz
'x,y,z'
loop_
_atom_site_label
_atom_site_fract_x
_atom_site_fract_y
_atom_site_fract_z
Hf1 0.000 0.000 0.000
Hf2 0.317 0.317 0.317
Be1 0.007 0.007 0.503
Be2 0.007 0.503 0.007
Be3 0.161 0.661 0.661
Be4 0.317 0.317 0.820
Be5 0.317 0.820 0.317
Be6 0.376 0.663 0.950
Be7 0.376 0.950 0.663
Be8 0.503 0.007 0.007
Be9 0.553 0.553 0.553
Be10 0.661 0.161 0.661
Be11 0.661 0.661 0.161
Be12 0.663 0.376 0.950
Be13 0.663 0.950 0.376
Be14 0.820 0.317 0.317
Be15 0.950 0.376 0.663
Be16 0.950 0.663 0.376
Ru1 0.755 0.755 0.755
```

The following is a PBE-GGA calculation of a relaxed Ac2Pr4Nd2Y crystal, from Alexandria.

Calculated values
* M_tot: 0.00 Bohr magnetons per cell
* ΔE_f: 28 meV per atom

The structure in CIF format:
```
data_Ac2Pr4Nd2Y
_chemical_formula_sum 'Ac2 Pr4 Nd2 Y1'
_symmetry_space_group_name_H-M 'P 1'
_symmetry_Int_Tables_number 1
_cell_length_a 9.962
_cell_length_b 9.962
_cell_length_c 10.129
_cell_angle_alpha 115.15
_cell_angle_beta 115.15
_cell_angle_gamma 21.94
loop_
_symmetry_equiv_pos_as_xyz
'x,y,z'
loop_
_atom_site_label
_atom_site_fract_x
_atom_site_fract_y
_atom_site_fract_z
Ac1 0.146 0.146 0.168
Ac2 0.854 0.854 0.832
Pr1 0.184 0.184 0.830
Pr2 0.482 0.482 0.180
Pr3 0.518 0.518 0.820
Pr4 0.816 0.816 0.170
Nd1 0.335 0.335 0.497
Nd2 0.665 0.665 0.503
Y1 0.000 0.000 0.500
```

The following is a PBE-GGA calculation of a relaxed Ac2CuBPd6 crystal, from Alexandria.

Calculated values
* M_tot: 0.00 Bohr magnetons per cell
* ΔE_f: -624 meV per atom

The structure in CIF format:
```
data_Ac2CuBPd6
_chemical_formula_sum 'Ac2 Cu1 B1 Pd6'
_symmetry_space_group_name_H-M 'P 1'
_symmetry_Int_Tables_number 1
_cell_length_a 5.885
_cell_length_b 5.885
_cell_length_c 7.302
_cell_angle_alpha 113.86
_cell_angle_beta 113.86
_cell_angle_gamma 59.94
loop_
_symmetry_equiv_pos_as_xyz
'x,y,z'
loop_
_atom_site_label
_atom_site_fract_x
_atom_site_fract_y
_atom_site_fract_z
Ac1 0.224 0.224 0.173
Ac2 0.776 0.776 0.827
Cu1 0.500 0.500 0.000
B1 0.000 0.000 0.500
Pd1 0.234 0.234 0.684
Pd2 0.234 0.720 0.686
Pd3 0.280 0.766 0.314
Pd4 0.720 0.234 0.686
Pd5 0.766 0.280 0.314
Pd6 0.766 0.766 0.316
```

Final energy: -5.84, -3.50, -5.50, -7.05, -4.74, -2.37, -4.92, -4.79, -5.64 (eV/atom)